No. 1
First-principles (GGA-PBE) data for an optimized crystal structure of Pr6Hg3H, as listed in Alexandria via LeMat-Bulk.

Calculated values
E_tot: -71.26 eV/cell

a = 6.6577 Å, b = 8.4505 Å, c = 10.4294 Å
α = 90.00°, β = 85.74°, γ = 90.00°
Fractional positions:
Pr (0.3504, 0.8532, 0.0492)
Pr (0.1629, 0.0589, 0.7685)
Pr (0.8504, 0.6468, 0.5492)
Pr (0.8371, 0.9411, 0.2315)
Hg (0.0000, 0.0000, 0.5000)
Pr (0.6496, 0.1468, 0.9508)
Hg (0.5943, 0.8853, 0.7320)
Pr (0.6629, 0.4411, 0.2685)
Pr (0.1110, 0.2846, 0.0631)
Pr (0.8890, 0.7154, 0.9369)
Hg (0.4057, 0.1147, 0.2680)
Pr (0.1496, 0.3532, 0.4508)
Hg (0.5000, 0.5000, 0.0000)
Pr (0.3890, 0.7846, 0.4369)
Hg (0.0943, 0.6147, 0.2320)
Pr (0.3371, 0.5589, 0.7315)
Hg (0.9057, 0.3853, 0.7680)
H (0.0000, 0.0000, 0.0000)
Pr (0.6110, 0.2154, 0.5631)
H (0.5000, 0.5000, 0.5000)

=====

No. 2
First-principles (GGA-PBE) data for an optimized crystal structure of Pr3HgH, as listed in Alexandria via LeMat-Bulk.

Calculated values
E_tot: -19.35 eV/cell
relative energy among the computed polymorphs: 53 meV/atom

a = 5.0307 Å, b = 5.0307 Å, c = 5.0307 Å
α = 90.00°, β = 90.00°, γ = 90.00°
Fractional positions:
H (0.0000, 0.0000, 0.0000)
Pr (0.5000, 0.0000, 0.0000)
Hg (0.5000, 0.5000, 0.5000)
Pr (0.0000, 0.5000, 0.0000)
Pr (0.0000, 0.0000, 0.5000)

=====

No. 3
First-principles (GGA-PBE) data for an optimized crystal structure of Pr3HgH, as listed in Alexandria via LeMat-Bulk.

Calculated values
E_tot: -78.47 eV/cell
relative energy among the computed polymorphs: 0 meV/atom

a = 3.7905 Å, b = 9.0534 Å, c = 15.1891 Å
α = 90.00°, β = 90.00°, γ = 90.00°
Fractional positions:
Pr (0.2500, 0.1687, 0.5089)
Pr (0.2500, 0.8132, 0.6967)
Pr (0.7500, 0.1868, 0.3033)
Hg (0.2500, 0.3939, 0.1776)
Pr (0.7500, 0.4828, 0.6018)
Pr (0.2500, 0.5172, 0.3982)
Pr (0.7500, 0.3313, 0.0089)
H (0.7500, 0.3380, 0.4495)
Hg (0.7500, 0.1061, 0.6776)
Hg (0.2500, 0.8939, 0.3224)
H (0.2500, 0.6620, 0.5505)
Pr (0.7500, 0.6868, 0.1967)
Pr (0.7500, 0.8313, 0.4911)
Pr (0.2500, 0.3132, 0.8033)
Pr (0.2500, 0.0172, 0.1018)
Pr (0.2500, 0.6687, 0.9911)
H (0.7500, 0.8380, 0.0505)
Pr (0.7500, 0.9828, 0.8982)
H (0.2500, 0.1620, 0.9495)
Hg (0.7500, 0.6061, 0.8224)

=====

No. 4
First-principles (GGA-PBE) data for an optimized crystal structure of Pr2HgH, as listed in Alexandria via LeMat-Bulk.

Calculated values
E_tot: -14.50 eV/cell
relative energy among the computed polymorphs: 63 meV/atom

a = 3.8074 Å, b = 3.8074 Å, c = 8.0659 Å
α = 76.35°, β = 76.35°, γ = 60.00°
Fractional positions:
H (0.6665, 0.6665, 0.0004)
Hg (0.4997, 0.4997, 0.5010)
Pr (0.0619, 0.0619, 0.8144)
Pr (0.2720, 0.2720, 0.1841)

=====

No. 5
First-principles (GGA-PBE) data for an optimized crystal structure of Pr4Hg2H, as listed in Alexandria via LeMat-Bulk.

Calculated values
E_tot: -25.31 eV/cell

a = 4.9117 Å, b = 4.9117 Å, c = 8.8139 Å
α = 106.18°, β = 106.18°, γ = 90.00°
Fractional positions:
Pr (0.0000, 0.5000, 0.0000)
Pr (0.8174, 0.8174, 0.6348)
Hg (0.6313, 0.6313, 0.2626)
Pr (0.5000, 0.0000, 0.0000)
Hg (0.3687, 0.3687, 0.7374)
Pr (0.1826, 0.1826, 0.3652)
H (0.0000, 0.0000, 0.0000)

=====

No. 6
First-principles (GGA-PBE) data for an optimized crystal structure of Pr2HgH, as listed in Alexandria via LeMat-Bulk.

Calculated values
E_tot: -29.50 eV/cell
relative energy among the computed polymorphs: 0 meV/atom

a = 4.7413 Å, b = 4.7413 Å, c = 8.6400 Å
α = 90.05°, β = 90.05°, γ = 90.00°
Fractional positions:
Pr (0.7500, 0.2500, 0.5000)
Pr (0.2497, 0.2497, 0.1391)
Pr (0.2500, 0.7500, 0.5000)
H (0.2499, 0.2499, 0.4173)
Hg (0.2504, 0.2504, 0.7739)
Hg (0.7496, 0.7496, 0.2261)
H (0.7501, 0.7501, 0.5827)
Pr (0.7503, 0.7503, 0.8609)

=====

No. 7
First-principles (GGA-PBE) data for an optimized crystal structure of PrHgH, as listed in Alexandria via LeMat-Bulk.

Calculated values
E_tot: -8.96 eV/cell
relative energy among the computed polymorphs: 334 meV/atom

a = 3.4239 Å, b = 3.4239 Å, c = 6.0376 Å
α = 106.47°, β = 106.47°, γ = 90.00°
Fractional positions:
H (0.2658, 0.2658, 0.5316)
Pr (0.7219, 0.7219, 0.4438)
Hg (0.0123, 0.0123, 0.0246)

=====

No. 8
First-principles (GGA-PBE) data for an optimized crystal structure of PrHgH, as listed in Alexandria via LeMat-Bulk.

Calculated values
E_tot: -19.92 eV/cell
relative energy among the computed polymorphs: 0 meV/atom

a = 3.9980 Å, b = 3.9980 Å, c = 7.6083 Å
α = 90.03°, β = 90.03°, γ = 90.00°
Fractional positions:
Pr (0.4802, 0.4926, 0.7063)
Pr (0.9808, 0.9931, 0.0514)
H (0.4806, 0.9928, 0.8788)
Hg (0.9801, 0.9925, 0.4865)
Hg (0.4810, 0.4932, 0.2711)
H (0.9804, 0.4930, 0.8788)